VASP calculation (PBE) on a geometry-optimized Pm2Ge3Pd6 structure.

Calculated values
Crystal system = hexagonal
Calculated volume = 19.05 Å³/atom
DFT formation energy = -786 kJ/mol of formula units

```
Pm2Ge3Pd6
1.0
-4.251 -0.466 0.944
1.524 -6.203 3.801
0.046 6.581 3.454
Ge Pm Pd
3 2 6
direct
0.500 0.000 0.626
0.500 0.626 0.000
0.500 0.374 0.374
0.000 0.333 0.667
0.000 0.667 0.333
0.500 0.295 0.000
0.000 0.787 0.000
0.000 0.000 0.787
0.500 0.705 0.705
0.500 0.000 0.295
0.000 0.213 0.213
```

***

VASP calculation (PBE) on a geometry-optimized Ac2PaTlSe6 structure.

Calculated values
Crystal system = trigonal
Formation energy without anion corrections = -1.521 eV per atom
Calculated volume = 35.44 Å³/atom

```
Ac2PaTlSe6
1.0
-2.547 -4.119 6.058
-5.536 -5.341 -0.993
2.066 -7.864 0.486
Se Pa Tl Ac
6 1 1 2
direct
0.225 0.961 0.242
0.391 0.700 0.761
0.147 0.391 0.761
0.700 0.147 0.761
0.961 0.572 0.242
0.572 0.225 0.242
0.325 0.325 0.024
0.805 0.805 0.586
0.009 0.009 0.973
0.526 0.526 0.422
```

***

VASP calculation (PBE) on a geometry-optimized SrAcAl3 structure.

Calculated values
Crystal system = orthorhombic
Calculated volume = 30.01 Å³/atom
DFT formation energy = -150 kJ/mol of formula units

```
SrAcAl3
1.0
-3.854 -0.554 2.315
-1.449 -3.154 -3.167
6.722 -8.732 9.103
Al Sr Ac
6 2 2
direct
0.250 0.384 0.768
0.750 0.523 0.047
0.750 0.616 0.232
0.250 0.477 0.953
0.750 0.335 0.670
0.250 0.665 0.330
0.750 0.204 0.407
0.250 0.796 0.593
0.250 0.069 0.139
0.750 0.931 0.861
```

***

VASP calculation (PBE) on a geometry-optimized YAl2Fe2Si structure.

Calculated values
Crystal system = tetragonal
Formation energy without anion corrections = -0.287 eV per atom
Calculated volume = 16.52 Å³/atom

```
YAl2Fe2Si
1.0
4.213 0.000 0.000
0.000 4.213 0.000
0.000 0.000 5.585
Fe Si Y Al
2 1 1 2
direct
0.000 0.500 0.000
0.500 0.000 0.000
0.000 0.000 0.000
0.000 0.000 0.500
0.500 0.500 0.745
0.500 0.500 0.255
```

***

VASP calculation (PBE) on a geometry-optimized Sm6Si2I3Br structure.

Calculated values
Crystal system = monoclinic
Formation energy without anion corrections = -0.952 eV per atom
Calculated volume = 30.11 Å³/atom

```
Sm6Si2I3Br
1.0
7.450 -0.004 0.003
-3.726 6.451 0.003
-1.239 -2.146 7.520
Si Sm I Br
2 6 3 1
direct
0.333 0.667 0.000
0.667 0.333 0.000
0.419 0.065 0.197
0.581 0.935 0.803
0.935 0.581 0.803
0.065 0.419 0.197
0.711 0.711 0.194
0.289 0.289 0.806
0.836 0.164 0.500
0.164 0.836 0.500
0.500 0.500 0.500
0.000 0.000 0.000
```

***

VASP calculation (PBE) on a geometry-optimized PdAu3S structure.

Calculated values
Crystal system = cubic
Formation energy without anion corrections = 0.558 eV per atom
Calculated volume = 21.00 Å³/atom
ΔE to the lowest computed polymorph = 0.0000 eV per atom

```
PdAu3S
1.0
-0.307 1.125 4.571
-2.792 -3.732 0.730
3.790 -2.658 0.909
Au S Pd
3 1 1
direct
0.000 0.500 0.000
0.500 0.000 0.000
0.000 0.000 0.500
0.000 0.000 0.000
0.500 0.500 0.500
```

***

VASP calculation (PBE) on a geometry-optimized Ba2Cd3GaAu4 structure.

Calculated values
Crystal system = tetragonal
Calculated volume = 26.49 Å³/atom
DFT formation energy = -466 kJ/mol of formula units

```
Ba2Cd3GaAu4
1.0
-4.103 -2.732 1.007
2.431 -4.172 -1.414
3.333 -1.387 9.823
Ga Au Cd Ba
1 4 3 2
direct
0.500 0.500 0.500
0.500 0.000 0.609
0.000 0.000 0.000
0.000 0.500 0.391
0.500 0.500 0.000
0.000 0.500 0.126
0.500 0.000 0.874
0.000 0.000 0.500
0.500 0.000 0.242
0.000 0.500 0.758
```

***

VASP calculation (PBE) on a geometry-optimized YCdAg2 structure.

Calculated values
Crystal system = tetragonal
Calculated volume = 24.32 Å³/atom
DFT formation energy = 30 kJ/mol of formula units

```
YCdAg2
1.0
-2.580 -0.685 -3.510
-0.231 -4.287 1.006
-9.502 -0.734 4.359
Ag Y Cd
4 2 2
direct
0.088 0.625 0.250
0.875 0.912 0.750
0.662 0.125 0.250
0.375 0.338 0.750
0.250 0.750 0.500
0.500 0.500 0.000
0.750 0.250 0.500
0.000 0.000 0.000
```

***

VASP calculation (PBE) on a geometry-optimized SbTe2Br structure.

Calculated values
Crystal system = trigonal
Formation energy without anion corrections = 0.055 eV per atom
Calculated volume = 31.91 Å³/atom
ΔE to the lowest computed polymorph = 0.2311 eV per atom

```
SbTe2Br
1.0
9.750 0.066 0.039
8.927 3.921 0.039
8.927 1.906 3.427
Sb Te Br
1 2 1
direct
0.745 0.745 0.745
0.010 0.010 0.010
0.261 0.261 0.261
0.485 0.485 0.485
```

***

VASP calculation (PBE) on a geometry-optimized Sc3AuN structure.

Calculated values
Crystal system = trigonal
Formation energy without anion corrections = -0.232 eV per atom
Calculated volume = 30.45 Å³/atom

```
Sc3AuN
1.0
1.709 3.261 3.872
0.200 -4.248 3.235
4.981 -0.854 -1.735
Sc N Au
3 1 1
direct
0.668 0.668 0.081
0.668 0.081 0.668
0.081 0.668 0.668
0.892 0.892 0.892
0.566 0.566 0.566
```

***

VASP calculation (PBE) on a geometry-optimized Dy2Tm3Mg2 structure.

Calculated values
Crystal system = orthorhombic
Calculated volume = 29.08 Å³/atom
DFT formation energy = 40 kJ/mol of formula units

```
Dy2Tm3Mg2
1.0
-2.444 0.779 -2.420
1.706 -1.942 -2.348
-7.542 -13.632 5.799
Tm Dy Mg
3 2 2
direct
0.000 0.000 0.000
0.573 0.500 0.145
0.427 0.500 0.855
0.295 0.500 0.590
0.705 0.500 0.410
0.862 0.000 0.724
0.138 0.000 0.276
```